No. 1
# Sb2AsIr PBE-GGA relaxed
# Energy relative to the lowest polymorph listed for this composition = 0 kJ/mol of formula units
# Raw formation energy = -4.3 kJ per mole of atoms
# Uncorrected energy = -5.48 eV per atom
data_Sb2AsIr
_cell_length_a 3.705
_cell_length_b 5.289
_cell_length_c 9.265
_cell_angle_alpha 90.00
_cell_angle_beta 90.00
_cell_angle_gamma 90.00
_symmetry_space_group_name_H-M 'A m m 2'
_symmetry_Int_Tables_number 38
_symmetry_space_group_name_Hall 'A 2 -2'
loop_
_atom_site_label
_atom_site_type_symbol
_atom_site_fract_x
_atom_site_fract_y
_atom_site_fract_z
_atom_site_occupancy
Sb1 Sb 0.000 0.000 0.000 1
Sb2 Sb 0.500 0.000 0.286 1
As1 As 0.000 0.000 0.606 1
Ir1 Ir 0.500 0.000 0.786 1

No. 2
# Si2RuPb PBE-GGA relaxed
# Raw formation energy = 40.8 kJ per mole of atoms
# Uncorrected energy = -5.53 eV per atom
data_Si2RuPb
_cell_length_a 3.094
_cell_length_b 5.615
_cell_length_c 8.882
_cell_angle_alpha 90.00
_cell_angle_beta 90.00
_cell_angle_gamma 90.00
_symmetry_space_group_name_H-M 'I m m m'
_symmetry_Int_Tables_number 71
_symmetry_space_group_name_Hall '-I 2 2'
loop_
_atom_site_label
_atom_site_type_symbol
_atom_site_fract_x
_atom_site_fract_y
_atom_site_fract_z
_atom_site_occupancy
Si1 Si 0.000 0.000 0.208 1
Ru1 Ru 0.000 0.500 0.500 1
Pb1 Pb 0.000 0.500 0.000 1

> The highest uncorrected energy belongs to which entry?

Sb2AsIr

> Which of these has the lowest uncorrected energy?

Si2RuPb